## NaTaBO2 (GGA-PBE)

Data for a geometry-optimized NaTaBO2 structure.

```
NaTaBO2
1.0
3.644 0.000 0.000
0.000 3.644 0.000
0.000 0.000 4.489
Na Ta B O
1 1 1 2
direct
0.000 0.000 0.000
0.500 0.500 0.000
0.000 0.000 0.500
0.000 0.500 0.500
0.500 0.000 0.500
```

Formation energy without anion corrections = 5.9 eV/f.u.